Record 1
Below is a relaxed Rb2YSc crystal, with properties calculated at the PBE level.

Geometry as extended XYZ:
```
8
Lattice="10.691 0.000 0.000 0.000 10.691 0.000 5.345 5.345 3.395" Properties=species:S:1:pos:R:3 pbc="T T T"
Y 0.000 0.000 0.000
Y 10.691 5.345 1.698
Sc 5.345 5.345 0.000
Sc 5.345 10.691 1.698
Rb 7.831 2.673 0.849
Rb 2.859 8.018 0.849
Rb 8.018 8.205 2.546
Rb 13.364 13.177 2.546
```

Calculated values
**Symmetry**: I-42d, No. 122
**Theoretical density**: 2.61 g cm⁻³
**Volume**: 48.51 Å³/atom
**Energy relative to the lowest polymorph listed for this composition**: 19 meV per atom
**M_tot**: 2.99 μB/f.u.
**Energy of formation**: 1.0426 eV per atom

Record 2
Below is a relaxed RbYSc3 crystal, with properties calculated at the PBE level.

Geometry as extended XYZ:
```
5
Lattice="5.701 0.000 0.000 0.000 5.701 0.000 0.000 0.000 5.701" Properties=species:S:1:pos:R:3 pbc="T T T"
Y 0.000 0.000 0.000
Sc 0.000 2.851 0.000
Sc 0.000 0.000 2.851
Sc 2.851 0.000 0.000
Rb 2.851 2.851 2.851
```

Calculated values
**Symmetry**: Pm-3m, No. 221
**Theoretical density**: 2.77 g cm⁻³
**Volume**: 37.06 Å³/atom
**Energy relative to the lowest polymorph listed for this composition**: 0 meV per atom
**M_tot**: 0.00 μB/f.u.
**Energy of formation**: 0.9389 eV per atom

Record 3
Below is a relaxed Rb3YSc crystal, with properties calculated at the PBE level.

Geometry as extended XYZ:
```
5
Lattice="-2.903 6.292 0.245 -5.959 -2.832 2.130 2.033 0.681 6.594" Properties=species:S:1:pos:R:3 pbc="T T T"
Y -3.415 2.071 4.484
Sc 0.000 0.000 0.000
Rb -2.980 -1.416 1.065
Rb 1.017 0.341 3.297
Rb -1.451 3.146 0.122
```

Calculated values
**Symmetry**: Pm-3m, No. 221
**Theoretical density**: 1.94 g cm⁻³
**Volume**: 66.67 Å³/atom
**M_tot**: 4.76 μB/f.u.
**Energy of formation**: 1.2390 eV per atom

Record 4
Below is a relaxed RbY3Sc crystal, with properties calculated at the PBE level.

Geometry as extended XYZ:
```
5
Lattice="5.479 0.000 0.000 0.000 5.479 0.000 0.000 0.000 5.479" Properties=species:S:1:pos:R:3 pbc="T T T"
Y 0.000 2.740 0.000
Y 0.000 0.000 2.740
Y 2.740 0.000 0.000
Sc 2.740 2.740 2.740
Rb 0.000 0.000 0.000
```

Calculated values
**Symmetry**: Pm-3m, No. 221
**Theoretical density**: 4.01 g cm⁻³
**Volume**: 32.90 Å³/atom
**Energy relative to the lowest polymorph listed for this composition**: 552 meV per atom
**M_tot**: 0.00 μB/f.u.
**Energy of formation**: 1.2295 eV per atom

Record 5
Below is a relaxed Rb3ScZn crystal, with properties calculated at the PBE level.

Geometry as extended XYZ:
```
5
Lattice="-4.244 -1.317 -6.032 -2.824 -6.095 3.317 -5.490 4.153 2.956" Properties=species:S:1:pos:R:3 pbc="T T T"
Sc 0.000 0.000 0.000
Zn -6.279 -1.629 0.121
Rb -1.412 -3.047 1.659
Rb -2.745 2.076 1.478
Rb -2.122 -0.658 -3.016
```

Calculated values
**Symmetry**: Pm-3m, No. 221
**Theoretical density**: 1.45 g cm⁻³
**Volume**: 84.10 Å³/atom
**M_tot**: 3.41 μB/f.u.
**Energy of formation**: 0.8971 eV per atom

Record 6
Below is a relaxed Rb2ZrSc crystal, with properties calculated at the PBE level.

Geometry as extended XYZ:
```
8
Lattice="-1.867 9.677 -2.472 2.322 -2.026 -9.682 -2.748 3.108 -6.641" Properties=species:S:1:pos:R:3 pbc="T T T"
Sc 0.227 3.826 -6.077
Sc -0.099 2.454 -11.200
Rb -1.569 6.599 -4.423
Rb 0.536 0.694 -8.014
Rb -1.897 5.206 -9.512
Rb -1.657 9.020 -15.643
Zr 0.000 0.000 0.000
Zr -2.194 8.305 -7.595
```

Calculated values
**Symmetry**: I-42d, No. 122
**Theoretical density**: 3.17 g cm⁻³
**Volume**: 40.16 Å³/atom
**Energy relative to the lowest polymorph listed for this composition**: 0 meV per atom
**M_tot**: 0.00 μB/f.u.
**Energy of formation**: 1.3956 eV per atom

Record 7
Below is a relaxed RbZrSc3 crystal, with properties calculated at the PBE level.

Geometry as extended XYZ:
```
5
Lattice="-4.943 -0.993 2.266 2.106 -4.346 2.690 1.298 3.269 4.265" Properties=species:S:1:pos:R:3 pbc="T T T"
Sc 1.053 -2.173 1.345
Sc 0.649 1.635 2.132
Sc -2.472 -0.497 1.133
Rb -0.769 -1.035 4.610
Zr 0.000 0.000 0.000
```

Calculated values
**Symmetry**: Pm-3m, No. 221
**Theoretical density**: 3.06 g cm⁻³
**Volume**: 33.78 Å³/atom
**Energy relative to the lowest polymorph listed for this composition**: 0 meV per atom
**M_tot**: 0.93 μB/f.u.
**Energy of formation**: 0.7818 eV per atom

Record 8
Below is a relaxed Rb2ZrSc crystal, with properties calculated at the PBE level.

Geometry as extended XYZ:
```
4
Lattice="-5.260 -1.114 -2.773 -5.110 2.455 2.110 -2.762 4.385 -3.120" Properties=species:S:1:pos:R:3 pbc="T T T"
Sc 0.000 0.000 0.000
Rb -3.283 1.432 -0.946
Rb -9.850 4.295 -2.837
Zr -6.566 2.863 -1.891
```

Calculated values
**Symmetry**: Fm-3m, No. 225
**Theoretical density**: 3.26 g cm⁻³
**Volume**: 39.14 Å³/atom
**Energy relative to the lowest polymorph listed for this composition**: 57 meV per atom
**M_tot**: 0.87 μB/f.u.
**Energy of formation**: 1.4526 eV per atom

Record 9
Below is a relaxed RbZrSc3 crystal, with properties calculated at the PBE level.

Geometry as extended XYZ:
```
5
Lattice="-1.540 -4.349 2.057 3.603 -2.474 -2.533 3.188 0.695 3.856" Properties=species:S:1:pos:R:3 pbc="T T T"
Sc 1.801 -1.237 -1.266
Sc 1.594 0.347 1.928
Sc -0.770 -2.174 1.029
Rb 0.000 0.000 0.000
Zr 2.625 -3.064 1.690
```

Calculated values
**Symmetry**: Pm-3m, No. 221
**Theoretical density**: 4.01 g cm⁻³
**Volume**: 25.78 Å³/atom
**Energy relative to the lowest polymorph listed for this composition**: 626 meV per atom
**M_tot**: 0.96 μB/f.u.
**Energy of formation**: 1.4075 eV per atom

Record 10
Below is a relaxed RbSe2 crystal, with properties calculated at the PBE level.

Geometry as extended XYZ:
```
3
Lattice="4.871 0.019 -0.718 0.019 4.871 -0.718 -3.148 -3.148 5.398" Properties=species:S:1:pos:R:3 pbc="T T T"
Se 0.149 0.149 1.242
Se 1.592 1.592 2.721
Rb 2.445 2.445 -0.718
```

Calculated values
**Symmetry**: C2/m, No. 12
**Theoretical density**: 3.81 g cm⁻³
**Volume**: 35.38 Å³/atom
**Energy relative to the lowest polymorph listed for this composition**: 17 meV per atom
**M_tot**: 0.00 μB/f.u.
**Energy relative to the elements, uncorrected**: -62.67 kJ per mole of atoms

Record 11
Below is a relaxed Rb3Se5 crystal, with properties calculated at the PBE level.

Geometry as extended XYZ:
```
16
Lattice="6.464 0.144 2.146 3.363 8.570 1.152 -0.047 0.112 10.915" Properties=species:S:1:pos:R:3 pbc="T T T"
Rb 7.540 3.457 9.687
Rb 5.547 3.370 5.548
Rb 8.613 7.743 12.118
Rb 4.622 7.548 3.299
Rb 6.320 7.959 7.738
Rb 3.064 3.672 11.828
Se 5.475 6.313 10.766
Se 7.769 6.417 4.923
Se 4.210 2.042 8.897
Se 2.551 1.989 4.031
Se 4.389 0.474 3.436
Se 2.279 0.800 9.789
Se 2.386 4.623 4.259
Se 4.459 5.103 8.875
Se 5.921 0.677 7.868
Se 6.222 4.909 12.590
```

Calculated values
**Symmetry**: P1, No. 1
**Theoretical density**: 3.60 g cm⁻³
**Volume**: 37.51 Å³/atom
**M_tot**: 0.00 μB/f.u.
**Energy relative to the elements, uncorrected**: -70.03 kJ per mole of atoms

Record 12
Below is a relaxed RbSe2 crystal, with properties calculated at the PBE level.

Geometry as extended XYZ:
```
6
Lattice="-4.566 -3.154 2.673 -3.302 -4.025 -3.292 0.614 -6.045 1.012" Properties=species:S:1:pos:R:3 pbc="T T T"
Se -2.251 -6.688 -1.091
Se -2.883 -6.253 1.892
Se -4.534 -8.265 0.246
Se -4.841 -5.243 -0.261
Rb 0.000 0.000 0.000
Rb -1.814 -3.306 0.098
```

Calculated values
**Symmetry**: Fd-3m, No. 227
**Theoretical density**: 4.89 g cm⁻³
**Volume**: 27.55 Å³/atom
**Energy relative to the lowest polymorph listed for this composition**: 266 meV per atom
**M_tot**: 0.00 μB/f.u.
**Energy relative to the elements, uncorrected**: -38.59 kJ per mole of atoms